1.
## Pd2CSe (PBE)

Data for a relaxed structure of Pd2CSe.

Properties
Uncorrected formation energy, eV/atom: 0.496

Unit cell a=4.8911 b=4.8911 c=11.5058 alpha=90.00 beta=90.00 gamma=90.00
With the nearest neighbours (Å) after each atom.
Sites, in units of the cell vectors:
Pd 0.1514 0.2500 0.1250  2 C 2.03
Pd 0.2500 0.6514 0.3750  2 C 2.03
Pd 0.2500 0.8486 0.8750  2 C 2.03
Pd 0.3486 0.2500 0.6250  2 C 2.03
Pd 0.6514 0.7500 0.6250  2 C 2.03
Pd 0.7500 0.1514 0.8750  2 C 2.03
Pd 0.7500 0.3486 0.3750  2 C 2.03
Pd 0.8486 0.7500 0.1250  2 C 2.03
C 0.0000 0.0000 0.0000  4 Pd 2.03
C 0.0000 0.5000 0.2500  4 Pd 2.03
C 0.5000 0.0000 0.7500  4 Pd 2.03
C 0.5000 0.5000 0.5000  4 Pd 2.03
Se 0.0000 0.0000 0.5000  4 Pd 2.54
Se 0.0000 0.5000 0.7500  4 Pd 2.54
Se 0.5000 0.0000 0.2500  4 Pd 2.54
Se 0.5000 0.5000 0.0000  4 Pd 2.54

2.
## Pd3CSe (PBE)

Data for a relaxed structure of Pd3CSe.

Properties
Uncorrected formation energy, eV/atom: 0.291

Unit cell a=4.2039 b=4.2039 c=4.2039 alpha=90.00 beta=90.00 gamma=90.00
With the nearest neighbours (Å) after each atom.
Sites, in units of the cell vectors:
Pd 0.0000 0.0000 0.5000  2 C 2.10
Pd 0.0000 0.5000 0.0000  2 C 2.10
Pd 0.5000 0.0000 0.0000  2 C 2.10
C 0.0000 0.0000 0.0000  6 Pd 2.10
Se 0.5000 0.5000 0.5000  12 Pd 2.97

3.
## Th4PdCSe2 (PBE)

Data for a relaxed structure of Th4PdCSe2.

Properties
Uncorrected formation energy, eV/atom: -1.013

Unit cell a=7.2436 b=3.9616 c=7.3152 alpha=90.00 beta=107.84 gamma=90.00
With the nearest neighbours (Å) after each atom.
Sites, in units of the cell vectors:
Th 0.2116 0.0000 0.2111  2 C 2.68, 1 Pd 2.95, 1 Se 2.97
Th 0.2356 0.5000 0.7771  1 C 2.70, 2 Pd 2.89, 2 Se 2.97
Th 0.7644 0.5000 0.2229  1 C 2.70, 2 Pd 2.89, 2 Se 2.97
Th 0.7884 0.0000 0.7889  2 C 2.68, 1 Pd 2.95, 1 Se 2.97
Pd 0.5000 0.0000 0.0000  6 Th 2.89-2.95
C 0.0000 0.5000 0.0000  6 Th 2.68-2.70
Se 0.0000 0.0000 0.5000  6 Th 2.97
Se 0.5000 0.5000 0.5000  6 Th 3.17-3.19

4.
## Th6PdC2Se3 (PBE)

Data for a relaxed structure of Th6PdC2Se3.

Properties
Uncorrected formation energy, eV/atom: -1.036

Unit cell a=9.2987 b=9.2987 c=8.4598 alpha=105.84 beta=105.84 gamma=24.47
With the nearest neighbours (Å) after each atom.
Sites, in units of the cell vectors:
Th 0.0216 0.0216 0.2550  1 C 2.61, 2 Pd 2.87
Th 0.3225 0.3225 0.4399  3 C 2.64-2.71
Th 0.3285 0.3285 0.8686  2 C 2.63
Th 0.6715 0.6715 0.1314  2 C 2.63
Th 0.6775 0.6775 0.5601  3 C 2.64-2.71
Th 0.9784 0.9784 0.7450  1 C 2.61, 2 Pd 2.87
Pd 0.5000 0.5000 0.0000  6 Th 2.87-3.00
C 0.1714 0.1714 0.3366  6 Th 2.61-2.71
C 0.8286 0.8286 0.6634  6 Th 2.61-2.71
Se 0.1601 0.1601 0.8359  6 Th 2.99-3.17
Se 0.5000 0.5000 0.5000  6 Th 2.96-3.12
Se 0.8399 0.8399 0.1641  6 Th 2.99-3.17